(1)
FeOF SCAN single point on PBEsol structure; M_tot = 4.89 μB/f.u.; ΔE_f (raw) = -1.89 eV per atom; total energy = -11.190 eV per atom; theoretical density = 4.22 g cm⁻³
1.0
-1.350 -3.071 -1.768
-0.115 -3.027 5.344
-5.740 1.956 0.984
Fe O F
4 4 4
Cartesian
-3.573 -1.292 0.906
-3.632 -2.849 3.654
-1.452 -1.038 2.911
-4.403 -0.032 3.417
-2.324 -2.506 2.061
-2.902 0.139 1.974
-2.953 -1.210 4.355
-4.881 -1.635 2.499
-0.034 -0.892 1.575
-4.723 -0.156 -0.190
-2.367 -0.959 -0.594
-0.081 -2.135 3.769

(2)
Fe4O3F5 SCAN single point on PBEsol structure; M_tot = 13.12 μB/f.u.; ΔE_f (raw) = -1.94 eV per atom; relative energy among the computed polymorphs = 91 meV per atom; total energy = -11.015 eV per atom; theoretical density = 4.88 g cm⁻³
1.0
4.774 0.079 -0.051
0.452 5.431 -0.161
-0.452 -2.376 4.887
F Fe O
5 4 3
Cartesian
0.973 1.621 0.725
3.797 0.075 1.721
0.973 3.059 2.950
3.797 1.516 3.951
2.925 -1.197 4.124
2.590 4.268 2.167
0.012 1.516 2.370
2.590 2.831 -0.056
0.496 5.401 -0.141
3.489 2.723 1.590
1.819 4.358 0.533
1.315 0.363 3.115

(3)
Fe3O2F2 SCAN single point on PBEsol structure; M_tot = 12.00 μB/f.u.; ΔE_f (raw) = -1.65 eV per atom; relative energy among the computed polymorphs = 0 meV per atom; total energy = -12.215 eV per atom; theoretical density = 4.96 g cm⁻³
1.0
-1.218 0.597 -5.260
-3.751 -4.553 0.352
-3.083 2.826 3.707
Fe F O
6 4 4
Cartesian
-4.622 0.363 -1.295
-2.617 1.758 1.204
0.000 0.000 0.000
-3.431 -1.493 0.093
-2.485 -1.978 -2.454
-5.435 -2.888 -2.406
-6.610 -0.987 0.516
-2.756 -0.698 -4.282
-5.296 -0.431 3.080
-1.442 -0.142 -1.718
-4.232 -1.495 -1.766
-4.511 -2.872 0.947
-3.541 1.742 -2.148
-3.821 0.365 0.565